# ZrZnFeHg

A relaxed ZrZnFeHg crystal (GGA-PBE, OQMD).

M_tot (Bohr magnetons per cell): 7.74
Energy above the most stable polymorph in this dataset (meV per atom): 24
E_tot (eV per atom): -4.50
DFT formation energy (eV per atom): 0.11

a = 6.5511 Å, b = 6.5511 Å, c = 6.5511 Å
α = 90.00°, β = 90.00°, γ = 90.00°
Closest atoms and distances in Å follow each position.
Space group F-43m (No. 216)
Unique sites:
Zr 0.0000 0.0000 0.0000 (multiplicity 4)  4 Hg 2.84, 4 Fe 2.84
Zn 0.0000 0.0000 0.5000 (multiplicity 4)  4 Hg 2.84, 4 Fe 2.84
Fe 0.2500 0.2500 0.7500 (multiplicity 4)  4 Zr 2.84, 4 Zn 2.84
Hg 0.2500 0.2500 0.2500 (multiplicity 4)  4 Zr 2.84, 4 Zn 2.84